(1)
Entry from Alexandria via LeMat-Bulk: an optimized crystal structure of FeP3H (PBE-GGA).

## Properties
Energy above the lowest structure with this stoichiometry = 0 meV per atom

Cell: 3.8471 3.8471 3.8471 Å, 90.00 90.00 90.00°
Last column: nearest neighbours and their distance in Å.
Space group Pm-3m (No. 221)
Symmetry-distinct sites (fractional):
Fe (0.0000, 0.0000, 0.0000) [1 per cell]  12 P 2.72
P (0.0000, 0.5000, 0.5000) [3 per cell]  2 H 1.92
H (0.5000, 0.5000, 0.5000) [1 per cell]  6 P 1.92

=====

(2)
Entry from Alexandria via LeMat-Bulk: an optimized crystal structure of Nd3ErBi2 (PBE-GGA).

## Properties
DFT formation energy = -2.4 eV per formula unit
Energy above the lowest structure with this stoichiometry = 240 meV per atom

Cell: 7.2060 14.8381 8.1189 Å, 90.00 90.00 90.00°
Last column: nearest neighbours and their distance in Å.
Space group Ibam (No. 72)
Symmetry-distinct sites (fractional):
Nd (0.0000, 0.0000, 0.2500) [4 per cell]  4 Bi 3.22
Nd (0.0000, 0.2979, 0.2500) [8 per cell]  4 Bi 3.24-3.26, 2 Er 3.62
Er (0.0000, 0.5000, 0.0000) [4 per cell]  2 Bi 3.23
Bi (0.1692, 0.1467, 0.0000) [8 per cell]  6 Nd 3.22-3.26, 1 Er 3.23

=====

(3)
Entry from Alexandria via LeMat-Bulk: an optimized crystal structure of PbBrF3 (PBE-GGA).

## Properties
Uncorrected formation energy = -1.350 eV per atom
Energy above the lowest structure with this stoichiometry = 205 meV per atom

Cell: 4.5988 4.5988 4.5988 Å, 90.00 90.00 90.00°
Last column: nearest neighbours and their distance in Å.
Space group Pm-3m (No. 221)
Symmetry-distinct sites (fractional):
Pb (0.0000, 0.0000, 0.0000) [1 per cell]  6 F 2.30
Br (0.5000, 0.5000, 0.5000) [1 per cell]  12 F 3.25
F (0.0000, 0.0000, 0.5000) [3 per cell]  2 Pb 2.30

=====

(4)
Entry from Alexandria via LeMat-Bulk: an optimized crystal structure of MnCo2Cu (PBE-GGA).

## Properties
DFT formation energy = 0.5 eV per formula unit

Cell: 3.6659 3.6659 7.0026 Å, 90.00 90.00 90.00°
Last column: nearest neighbours and their distance in Å.
Space group I-4m2 (No. 119)
Symmetry-distinct sites (fractional):
Mn (0.0000, 0.0000, 0.0000) [2 per cell]  8 Co 2.53-2.59, 4 Cu 2.53
Co (0.0000, 0.0000, 0.5000) [2 per cell]  4 Co 2.53, 4 Cu 2.53, 4 Mn 2.59
Co (0.0000, 0.5000, 0.2500) [2 per cell]  4 Mn 2.53, 4 Co 2.53, 4 Cu 2.59
Cu (0.0000, 0.5000, 0.7500) [2 per cell]  4 Mn 2.53, 8 Co 2.53-2.59

=====

(5)
Entry from Alexandria via LeMat-Bulk: an optimized crystal structure of Ta2TlRe (PBE-GGA).

## Properties
DFT formation energy = 1.4 eV per formula unit
Energy above the lowest structure with this stoichiometry = 139 meV per atom

Cell: 10.5143 3.3104 4.6787 Å, 90.00 115.79 90.00°
Last column: nearest neighbours and their distance in Å.
Space group Cm (No. 8)
Symmetry-distinct sites (fractional):
Ta (0.0000, 0.0000, 0.0000) [2 per cell]  4 Re 2.87-2.88, 2 Ta 2.91, 4 Tl 3.05-3.21
Ta (0.2477, 0.0000, 0.7497) [2 per cell]  2 Re 2.67, 4 Tl 2.87, 2 Ta 2.91
Tl (0.2701, 0.5000, 0.2720) [2 per cell]  8 Ta 2.87-3.21, 2 Re 2.94
Re (0.0265, 0.5000, 0.5252) [2 per cell]  6 Ta 2.67-2.88, 2 Tl 2.94

=====

(6)
Entry from Alexandria via LeMat-Bulk: an optimized crystal structure of Cs2CdHgSb (PBE-GGA).

## Properties
Uncorrected formation energy = -0.170 eV per atom
Energy above the lowest structure with this stoichiometry = 0 meV per atom

Cell: 7.5202 7.5202 5.6897 Å, 90.00 90.00 90.00°
Last column: nearest neighbours and their distance in Å.
Space group P4/mmm (No. 123)
Symmetry-distinct sites (fractional):
Cs (0.0000, 0.5000, 0.0000) [2 per cell]  2 Sb 3.76
Cd (0.0000, 0.0000, 0.5000) [1 per cell]  2 Sb 2.84
Hg (0.5000, 0.5000, 0.5000) [1 per cell]  8 Cs 4.72
Sb (0.0000, 0.0000, 0.0000) [1 per cell]  2 Cd 2.84

=====

(7)
Entry from Alexandria via LeMat-Bulk: an optimized crystal structure of CaEu2 (PBE-GGA).

## Properties
DFT formation energy = 0.1 eV per formula unit
Energy above the lowest structure with this stoichiometry = 0 meV per atom

Cell: 4.4155 4.4155 13.1489 Å, 90.00 90.00 90.00°
Last column: nearest neighbours and their distance in Å.
Space group I4/mmm (No. 139)
Symmetry-distinct sites (fractional):
Ca (0.0000, 0.0000, 0.0000) [2 per cell]  8 Eu 3.81
Eu (0.0000, 0.0000, 0.3339) [4 per cell]  4 Ca 3.81, 4 Eu 3.82

=====

(8)
Entry from Alexandria via LeMat-Bulk: an optimized crystal structure of SrAlFe2 (PBE-GGA).

## Properties
DFT formation energy = 1.9 eV per formula unit

Cell: 4.4866 5.4884 6.7665 Å, 90.00 90.00 90.00°
Last column: nearest neighbours and their distance in Å.
Space group Immm (No. 71)
Symmetry-distinct sites (fractional):
Sr (0.0000, 0.0000, 0.0000) [2 per cell]  8 Fe 2.97-3.17
Al (0.0000, 0.0000, 0.5000) [2 per cell]  4 Fe 2.52
Fe (0.0000, 0.5000, 0.1691) [4 per cell]  1 Fe 2.29, 2 Al 2.52

=====

(9)
Entry from Alexandria via LeMat-Bulk: an optimized crystal structure of Ta2MnAg (PBE-GGA).

## Properties
DFT formation energy = 1.3 eV per formula unit
Energy above the lowest structure with this stoichiometry = 189 meV per atom

Cell: 5.7711 7.2322 3.0982 Å, 90.00 90.00 90.00°
Last column: nearest neighbours and their distance in Å.
Space group Cmmm (No. 65)
Symmetry-distinct sites (fractional):
Ta (0.2500, 0.2500, 0.0000) [4 per cell]  4 Mn 2.78, 4 Ag 2.78, 4 Ta 2.89-3.10
Mn (0.0000, 0.0000, 0.5000) [2 per cell]  8 Ta 2.78, 2 Ag 2.89, 2 Mn 3.10
Ag (0.0000, 0.5000, 0.5000) [2 per cell]  8 Ta 2.78, 2 Mn 2.89, 2 Ag 3.10

=====

(10)
Entry from Alexandria via LeMat-Bulk: an optimized crystal structure of Ca2NiPb (PBE-GGA).

## Properties
DFT formation energy = -0.8 eV per formula unit

Cell: 3.5385 5.1352 11.3865 Å, 90.00 90.00 90.00°
Last column: nearest neighbours and their distance in Å.
Space group Imm2 (No. 44)
Symmetry-distinct sites (fractional):
Ca (0.0000, 0.0000, 0.0000) [2 per cell]  2 Ni 3.06, 4 Pb 3.32
Ca (0.0000, 0.5000, 0.1998) [2 per cell]  4 Ni 3.13, 2 Pb 3.42, 2 Ca 3.43
Ni (0.0000, 0.5000, 0.7191) [2 per cell]  2 Pb 2.70
Pb (0.0000, 0.0000, 0.3988) [2 per cell]  2 Ni 2.70

=====

(11)
Entry from Alexandria via LeMat-Bulk: an optimized crystal structure of NdEuGdY (PBE-GGA).

## Properties
DFT formation energy = 0.5 eV per formula unit

Cell: 8.2207 8.2207 8.2207 Å, 90.00 90.00 90.00°
Last column: nearest neighbours and their distance in Å.
Space group F-43m (No. 216)
Symmetry-distinct sites (fractional):
Nd (0.0000, 0.0000, 0.0000) [4 per cell]  4 Gd 3.56, 4 Eu 3.56
Eu (0.2500, 0.2500, 0.2500) [4 per cell]  4 Nd 3.56, 4 Y 3.56
Gd (0.2500, 0.2500, 0.7500) [4 per cell]  4 Nd 3.56, 4 Y 3.56
Y (0.0000, 0.0000, 0.5000) [4 per cell]  4 Eu 3.56, 4 Gd 3.56

=====

(12)
Entry from Alexandria via LeMat-Bulk: an optimized crystal structure of HoEr4Al (PBE-GGA).

## Properties
DFT formation energy = -0.7 eV per formula unit
Energy above the lowest structure with this stoichiometry = 0 meV per atom

Cell: 3.4952 3.4952 13.8759 Å, 90.00 90.00 90.00°
Last column: nearest neighbours and their distance in Å.
Space group P4/mmm (No. 123)
Symmetry-distinct sites (fractional):
Ho (0.0000, 0.0000, 0.0000) [1 per cell]  4 Ho 3.50, 8 Er 3.51
Er (0.0000, 0.0000, 0.3629) [2 per cell]  4 Al 3.12
Er (0.5000, 0.5000, 0.1796) [2 per cell]  8 Er 3.50-3.55, 4 Ho 3.51
Al (0.5000, 0.5000, 0.5000) [1 per cell]  8 Er 3.12

=====

(13)
Entry from Alexandria via LeMat-Bulk: an optimized crystal structure of Cs3Np6Cl20 (PBE-GGA).

## Properties
Uncorrected formation energy = -1.726 eV per atom

Cell: 14.6801 14.6801 14.6801 Å, 90.00 90.00 90.00°
Last column: nearest neighbours and their distance in Å.
Space group Fm-3m (No. 225)
Symmetry-distinct sites (fractional):
Cs (0.0000, 0.0000, 0.0000) [4 per cell]  12 Cl 3.48
Cs (0.2500, 0.2500, 0.2500) [8 per cell]  4 Cl 3.47
Np (0.0000, 0.0000, 0.2672) [24 per cell]  8 Cl 2.86-2.94
Cl (0.0000, 0.1674, 0.1674) [48 per cell]  2 Np 2.86
Cl (0.1134, 0.1134, 0.3866) [32 per cell]  3 Np 2.94

=====

(14)
Entry from Alexandria via LeMat-Bulk: an optimized crystal structure of CeSm2Au8 (PBE-GGA).

## Properties
DFT formation energy = -7.3 eV per formula unit

Cell: 8.0573 15.2956 5.2337 Å, 90.00 130.44 90.00°
Last column: nearest neighbours and their distance in Å.
Space group C2/m (No. 12)
Symmetry-distinct sites (fractional):
Ce (0.0000, 0.0000, 0.0000) [2 per cell]  6 Au 3.07-3.34
Sm (0.0000, 0.3149, 0.5000) [4 per cell]  12 Au 3.08-3.21
Au (0.0000, 0.2007, 0.0000) [4 per cell]  6 Au 3.04-3.15, 1 Ce 3.07, 4 Sm 3.08-3.15
Au (0.0016, 0.5000, 0.2516) [4 per cell]  2 Au 2.62
Au (0.2278, 0.1330, 0.7291) [8 per cell]  4 Au 2.79-3.04, 1 Sm 3.11

=====

(15)
Entry from Alexandria via LeMat-Bulk: an optimized crystal structure of GaBiTe2 (PBE-GGA).

## Properties
Uncorrected formation energy = -0.030 eV per atom

Cell: 7.8563 7.8563 8.6988 Å, 90.00 90.00 90.00°
Last column: nearest neighbours and their distance in Å.
Space group I-42d (No. 122)
Symmetry-distinct sites (fractional):
Ga (0.0000, 0.0000, 0.0000) [4 per cell]  4 Te 2.86
Bi (0.0000, 0.0000, 0.5000) [4 per cell]  4 Te 3.11
Te (0.2255, 0.2500, 0.1250) [8 per cell]  2 Ga 2.86, 2 Bi 3.11

=====

(16)
Entry from Alexandria via LeMat-Bulk: an optimized crystal structure of PbI3N (PBE-GGA).

## Properties
Uncorrected formation energy = 0.752 eV per atom
Energy above the lowest structure with this stoichiometry = 114 meV per atom

Cell: 6.8359 6.8570 9.6391 Å, 95.74 108.71 99.37°
Last column: nearest neighbours and their distance in Å.
Space group P1 (No. 1)
Symmetry-distinct sites (fractional):
Pb (0.0000, 0.0000, 0.0000) [1 per cell]  6 I 3.25-3.29
Pb (0.4099, 0.5954, 0.0037) [1 per cell]  6 I 3.25-3.29
I (0.1138, 0.6537, 0.2028) [1 per cell]  2 Pb 3.25-3.26, 1 N 3.50, 2 I 3.55
I (0.2959, 0.9412, 0.8010) [1 per cell]  2 Pb 3.25-3.26, 1 N 3.50, 2 I 3.55
I (0.4283, 0.2854, 0.2427) [1 per cell]  2 Pb 3.27, 2 I 3.42-3.55, 2 N 3.45-3.49
I (0.6506, 0.6340, 0.7593) [1 per cell]  2 Pb 3.27-3.29, 2 I 3.42-3.55, 2 N 3.58
I (0.7594, 0.9611, 0.2443) [1 per cell]  2 Pb 3.27-3.29, 2 I 3.42-3.55, 2 N 3.58
I (0.9816, 0.3097, 0.7607) [1 per cell]  2 Pb 3.27-3.28, 2 I 3.42-3.55, 2 N 3.45-3.53
N (0.5102, 0.9919, 0.5186) [1 per cell]  6 I 3.45-3.64
N (0.8944, 0.5991, 0.4825) [1 per cell]  6 I 3.45-3.68

=====

(17)
Entry from Alexandria via LeMat-Bulk: an optimized crystal structure of CePrAlSn (PBE-GGA).

## Properties
DFT formation energy = -1.6 eV per formula unit

Cell: 7.6323 7.6323 7.6323 Å, 90.00 90.00 90.00°
Last column: nearest neighbours and their distance in Å.
Space group F-43m (No. 216)
Symmetry-distinct sites (fractional):
Ce (0.0000, 0.0000, 0.0000) [4 per cell]  4 Sn 3.30, 4 Al 3.30
Pr (0.0000, 0.0000, 0.5000) [4 per cell]  4 Al 3.30, 4 Sn 3.30
Al (0.2500, 0.2500, 0.2500) [4 per cell]  4 Ce 3.30, 4 Pr 3.30
Sn (0.2500, 0.2500, 0.7500) [4 per cell]  4 Pr 3.30, 4 Ce 3.30

=====

(18)
Entry from Alexandria via LeMat-Bulk: an optimized crystal structure of GaNiTe2I (PBE-GGA).

## Properties
Uncorrected formation energy = 0.832 eV per atom
Energy above the lowest structure with this stoichiometry = 655 meV per atom

Cell: 5.3941 5.3941 5.5438 Å, 90.00 90.00 90.00°
Last column: nearest neighbours and their distance in Å.
Space group P4/mmm (No. 123)
Symmetry-distinct sites (fractional):
Ga (0.0000, 0.0000, 0.0000) [1 per cell]  4 Te 2.70, 2 I 2.77
Ni (0.5000, 0.5000, 0.5000) [1 per cell]  4 I 3.81, 8 Te 3.87
Te (0.0000, 0.5000, 0.0000) [2 per cell]  2 Ga 2.70
I (0.0000, 0.0000, 0.5000) [1 per cell]  2 Ga 2.77

=====

(19)
Entry from Alexandria via LeMat-Bulk: an optimized crystal structure of Pu2V3Si4 (PBE-GGA).

## Properties
Uncorrected formation energy = -0.494 eV per atom

Cell: 6.8016 6.7536 6.7592 Å, 90.00 109.95 90.00°
Last column: nearest neighbours and their distance in Å.
Space group P2_1/c (No. 14)
Symmetry-distinct sites (fractional):
Pu (0.1770, 0.1555, 0.0556) [4 per cell]  7 Si 2.79-2.98, 1 Pu 3.09
V (0.2587, 0.6712, 0.2516) [4 per cell]  6 Si 2.48-2.69
V (0.5000, 0.0000, 0.5000) [2 per cell]  6 Si 2.62-2.65, 2 V 2.93
Si (0.0936, 0.5452, 0.8784) [4 per cell]  1 Si 2.47, 4 V 2.51-2.69
Si (0.4937, 0.1332, 0.8661) [4 per cell]  5 V 2.48-2.65, 1 Si 2.53

=====

Number 1: DOS at the Fermi energy 4.405 states/eV/f.u.. Number 2: DOS at the Fermi energy 7.642 states/eV/f.u.. Number 3: DOS at the Fermi energy 8.347 states/eV/f.u.. Number 4: DOS at the Fermi energy 3.667 states/eV/f.u.. Number 5: DOS at the Fermi energy 1.562 states/eV/f.u.. Number 6: DOS at the Fermi energy 1.651 states/eV/f.u.. Number 7: DOS at the Fermi energy 2.890 states/eV/f.u.. Number 8: DOS at the Fermi energy 4.385 states/eV/f.u.. Number 9: DOS at the Fermi energy 3.340 states/eV/f.u.. Number 10: DOS at the Fermi energy 2.720 states/eV/f.u.. Number 11: DOS at the Fermi energy 6.993 states/eV/f.u.. Number 12: DOS at the Fermi energy 6.109 states/eV/f.u.. Number 13: DOS at the Fermi energy 63.123 states/eV/f.u.. Number 14: DOS at the Fermi energy 11.741 states/eV/f.u.. Number 15: DOS at the Fermi energy 1.418 states/eV/f.u.. Number 16: DOS at the Fermi energy 1.329 states/eV/f.u.. Number 17: DOS at the Fermi energy 8.416 states/eV/f.u.. Number 18: DOS at the Fermi energy 11.564 states/eV/f.u.. Number 19: DOS at the Fermi energy 15.879 states/eV/f.u..